Below is a relaxed structure of Mo5W3, with properties calculated at the PBE level.

The calculation puts the energy above the most stable polymorph in this dataset at 339 meV per atom. The total magnetization is 0.00 μB/cell. The value obtained for the density of states at the Fermi level is 0.765 states/eV/atom. As for the formation energy from the elements: 0.327 eV per atom.

The space group is C2/c (No. 15) and the conventional cell measures 11.371, 10.235 and 5.014 Å, with angles of 90.00, 115.87 and 90.00 degrees. The inequivalent atoms are Mo at (0.000, 0.000, 0.250), Mo at (0.063, 0.265, 0.063), Mo at (0.235, 0.436, 0.738), W at (0.000, 0.499, 0.750) and W at (0.183, 0.183, 0.682).